## TbCr2S4 (PBE)

Data for TbCr2S4 after structural relaxation.

Values from the calculation:
The energy relative to the elements, uncorrected is -7.257 eV/f.u. The value obtained for the size of the total moment is 6.99 μB/f.u.

The structure in POSCAR format:
```
TbCr2S4
1.0
0.7506 2.3915 -6.5840
-1.9962 -6.7558 0.0836
-4.9635 3.8322 3.2129
Tb Cr S
2 4 8
Cartesian
-3.7913 -2.5528 0.0230 Tb
-6.2090 -0.5318 -3.2874 Tb
-2.5183 -3.4587 -3.2386 Cr
-4.0022 1.8356 -1.6741 Cr
-4.3773 0.6398 1.6179 Cr
-1.5204 -0.0808 -3.2803 Cr
-3.8946 0.7496 -3.8122 S
-4.1100 2.9223 0.4637 S
-1.3631 1.8134 -5.0116 S
-1.4421 1.6274 -1.5956 S
-2.9717 3.8929 -2.8234 S
-1.6770 -1.9756 -1.5488 S
-1.5997 -1.7892 -4.9650 S
-5.0316 -0.2216 -0.5252 S
```

---

## Tb3Pm3Hg2 (PBE)

Data for Tb3Pm3Hg2 after structural relaxation.

Values from the calculation:
The value obtained for the size of the total moment is 0.00 μB/f.u. The value obtained for the formation energy is -0.1747 eV/atom.

The structure in POSCAR format:
```
Tb3Pm3Hg2
1.0
5.2387 0.0000 0.0000
-2.6193 5.9316 0.0000
0.0000 0.0000 15.8873
Tb Pm Hg
6 6 4
Cartesian
2.6193 1.6791 7.4166 Tb
0.0000 4.2525 15.3602 Tb
2.6193 1.6791 0.5271 Tb
0.0000 4.2525 8.4707 Tb
0.0000 5.1132 3.9718 Tb
2.6193 0.8184 11.9155 Tb
2.6193 5.4650 6.2183 Pm
0.0000 0.4666 14.1619 Pm
2.6193 5.4650 1.7254 Pm
0.0000 0.4666 9.6690 Pm
2.6193 2.5655 3.9718 Pm
0.0000 3.3661 11.9155 Pm
2.6193 3.2132 13.8663 Hg
0.0000 2.7185 5.9227 Hg
2.6193 3.2132 9.9646 Hg
0.0000 2.7185 2.0210 Hg
```

---

## BPd2PtAu (PBE)

Data for BPd2PtAu after structural relaxation.

Values from the calculation:
The value obtained for the size of the total moment is 0.00 μB/f.u. The value obtained for the formation energy is -0.1168 eV/atom.

The structure in POSCAR format:
```
BPd2PtAu
1.0
4.2264 0.0000 0.0000
0.0000 4.2264 0.0000
0.0000 0.0000 4.1727
B Au Pd Pt
1 1 2 1
Cartesian
0.0000 0.0000 0.0000 B
2.1132 2.1132 2.0863 Au
0.0000 2.1132 0.0000 Pd
2.1132 0.0000 0.0000 Pd
0.0000 0.0000 2.0863 Pt
```